RuPtW: optimized geometry, PBE-GGA.

Computed properties:
**Energy of formation**: 0.2302 eV per atom
**Polymorph energy (0 for the lowest one)**: 394 meV/atom

Geometry as CIF:
```
data_RuPtW
_space_group_name_H-M_alt 'C 1 2/m 1'
_space_group_IT_number 12
_cell_length_a 17.2693
_cell_length_b 4.3667
_cell_length_c 5.5207
_cell_angle_alpha 90.00
_cell_angle_beta 99.21
_cell_angle_gamma 90.00
loop_
_space_group_symop_operation_xyz
'x,y,z'
'-x,-y,-z'
'-x,y,-z'
'x,-y,z'
'x+1/2,y+1/2,z'
'-x+1/2,-y+1/2,-z'
'-x+1/2,y+1/2,-z'
'x+1/2,-y+1/2,z'
loop_
_atom_site_label
_atom_site_type_symbol
_atom_site_fract_x
_atom_site_fract_y
_atom_site_fract_z
_atom_site_occupancy
Ru1 Ru 0.2221 0.0000 0.1128 1
Ru2 Ru 0.2242 0.0000 0.6116 1
Pt1 Pt 0.0083 0.5000 0.2530 1
Pt2 Pt 0.0850 0.0000 0.7925 1
W1 W 0.1375 0.5000 0.5677 1
W2 W 0.1408 0.5000 0.0748 1
```